Run A
# Cs2LiH | Alexandria | PBE | optimized geometry
data_Cs2LiH
_chemical_formula_sum 'Cs8 Li4 H4'
_symmetry_space_group_name_H-M 'I -4 2 d'
_symmetry_Int_Tables_number 122
_symmetry_space_group_name_Hall 'I -4 2bw'
_cell_length_a 9.176
_cell_length_b 9.176
_cell_length_c 10.667
_cell_angle_alpha 90.00
_cell_angle_beta 90.00
_cell_angle_gamma 90.00
loop_
_atom_site_label
_atom_site_type_symbol
_atom_site_fract_x
_atom_site_fract_y
_atom_site_fract_z
_atom_site_occupancy
Cs1 Cs 0.139 0.250 0.125 1
Li1 Li 0.000 0.000 0.500 1
H1 H 0.000 0.000 0.000 1
# density = 2.0 g/cm³
# magnetic moment = 0.00 μB/atom
# V = 56.13 Å³/atom

Run B
# Cs2LiH | Alexandria | PBE | optimized geometry
data_Cs2LiH
_chemical_formula_sum 'Cs8 Li4 H4'
_symmetry_space_group_name_H-M 'F m -3 m'
_symmetry_Int_Tables_number 225
_symmetry_space_group_name_Hall '-F 4 2 3'
_cell_length_a 9.124
_cell_length_b 9.124
_cell_length_c 9.124
_cell_angle_alpha 90.00
_cell_angle_beta 90.00
_cell_angle_gamma 90.00
loop_
_atom_site_label
_atom_site_type_symbol
_atom_site_fract_x
_atom_site_fract_y
_atom_site_fract_z
_atom_site_occupancy
Cs1 Cs 0.250 0.250 0.250 1
Li1 Li 0.000 0.000 0.000 1
H1 H 0.000 0.000 0.500 1
# density = 2.4 g/cm³
# magnetic moment = 0.00 μB/atom
# V = 47.48 Å³/atom

In order of decreasing stability: run A, run B.

Run A
# Cs2LiH3 | Alexandria | PBE | optimized geometry
data_Cs2LiH3
_chemical_formula_sum 'Cs8 Li4 H12'
_symmetry_space_group_name_H-M 'C m c m'
_symmetry_Int_Tables_number 63
_symmetry_space_group_name_Hall '-C 2c 2'
_cell_length_a 13.968
_cell_length_b 6.650
_cell_length_c 6.262
_cell_angle_alpha 90.00
_cell_angle_beta 90.00
_cell_angle_gamma 90.00
loop_
_atom_site_label
_atom_site_type_symbol
_atom_site_fract_x
_atom_site_fract_y
_atom_site_fract_z
_atom_site_occupancy
Cs1 Cs 0.146 0.245 0.250 1
Li1 Li 0.000 0.171 0.750 1
H1 H 0.000 0.000 0.000 1
H2 H 0.126 0.292 0.750 1
# density = 3.1 g/cm³
# magnetic moment = 0.00 μB/atom
# V = 24.24 Å³/atom

Run B
# Cs2LiH3 | Alexandria | PBE | optimized geometry
data_Cs2LiH3
_chemical_formula_sum 'Cs8 Li4 H12'
_symmetry_space_group_name_H-M 'C 1 2/c 1'
_symmetry_Int_Tables_number 15
_cell_length_a 11.382
_cell_length_b 7.388
_cell_length_c 7.801
_cell_angle_alpha 90.00
_cell_angle_beta 114.28
_cell_angle_gamma 90.00
loop_
_symmetry_equiv_pos_as_xyz
'x,y,z'
'-x,-y,-z'
'-x,y,-z+1/2'
'x,-y,z+1/2'
'x+1/2,y+1/2,z'
'-x+1/2,-y+1/2,-z'
'-x+1/2,y+1/2,-z+1/2'
'x+1/2,-y+1/2,z+1/2'
loop_
_atom_site_label
_atom_site_type_symbol
_atom_site_fract_x
_atom_site_fract_y
_atom_site_fract_z
_atom_site_occupancy
Cs1 Cs 0.162 0.174 0.186 1
Li1 Li 0.000 0.405 0.750 1
H1 H 0.000 0.152 0.750 1
H2 H 0.136 0.477 0.433 1
# density = 3.1 g/cm³
# magnetic moment = 0.00 μB/atom
# V = 24.92 Å³/atom

In order of decreasing stability: run A, run B.

Run A
# Cs3Mg2H7 | Alexandria | PBE | optimized geometry
data_Cs3Mg2H7
_chemical_formula_sum 'Cs6 Mg4 H14'
_symmetry_space_group_name_H-M 'C m m m'
_symmetry_Int_Tables_number 65
_symmetry_space_group_name_Hall '-C 2 2'
_cell_length_a 4.290
_cell_length_b 24.130
_cell_length_c 4.221
_cell_angle_alpha 90.00
_cell_angle_beta 90.00
_cell_angle_gamma 90.00
loop_
_atom_site_label
_atom_site_type_symbol
_atom_site_fract_x
_atom_site_fract_y
_atom_site_fract_z
_atom_site_occupancy
Cs1 Cs 0.000 0.000 0.000 1
Cs2 Cs 0.000 0.177 0.000 1
Mg1 Mg 0.000 0.412 0.500 1
H1 H 0.000 0.089 0.500 1
H2 H 0.000 0.332 0.500 1
H3 H 0.000 0.412 0.000 1
H4 H 0.000 0.500 0.500 1
# density = 3.5 g/cm³
# magnetic moment = 0.00 μB/atom
# V = 18.21 Å³/atom

Run B
# Cs3Mg2H7 | Alexandria | PBE | optimized geometry
data_Cs3Mg2H7
_chemical_formula_sum 'Cs6 Mg4 H14'
_symmetry_space_group_name_H-M 'I 4/m m m'
_symmetry_Int_Tables_number 139
_symmetry_space_group_name_Hall '-I 4 2'
_cell_length_a 4.270
_cell_length_b 4.270
_cell_length_c 23.300
_cell_angle_alpha 90.00
_cell_angle_beta 90.00
_cell_angle_gamma 90.00
loop_
_atom_site_label
_atom_site_type_symbol
_atom_site_fract_x
_atom_site_fract_y
_atom_site_fract_z
_atom_site_occupancy
Cs1 Cs 0.000 0.000 0.000 1
Cs2 Cs 0.000 0.000 0.183 1
Mg1 Mg 0.000 0.000 0.409 1
H1 H 0.000 0.000 0.326 1
H2 H 0.000 0.000 0.500 1
H3 H 0.000 0.500 0.091 1
# density = 3.6 g/cm³
# magnetic moment = 0.00 μB/atom
# V = 17.70 Å³/atom

In order of decreasing stability: run B, run A.

Run A
# Cs2MgH | Alexandria | PBE | optimized geometry
data_Cs2MgH
_chemical_formula_sum 'Cs8 Mg4 H4'
_symmetry_space_group_name_H-M 'F m -3 m'
_symmetry_Int_Tables_number 225
_symmetry_space_group_name_Hall '-F 4 2 3'
_cell_length_a 9.177
_cell_length_b 9.177
_cell_length_c 9.177
_cell_angle_alpha 90.00
_cell_angle_beta 90.00
_cell_angle_gamma 90.00
loop_
_atom_site_label
_atom_site_type_symbol
_atom_site_fract_x
_atom_site_fract_y
_atom_site_fract_z
_atom_site_occupancy
Cs1 Cs 0.250 0.250 0.250 1
Mg1 Mg 0.000 0.000 0.000 1
H1 H 0.000 0.000 0.500 1
# density = 2.5 g/cm³
# magnetic moment = 0.00 μB/atom
# V = 48.31 Å³/atom

Run B
# Cs2MgH | Alexandria | PBE | optimized geometry
data_Cs2MgH
_chemical_formula_sum 'Cs8 Mg4 H4'
_symmetry_space_group_name_H-M 'I -4 2 d'
_symmetry_Int_Tables_number 122
_symmetry_space_group_name_Hall 'I -4 2bw'
_cell_length_a 9.183
_cell_length_b 9.183
_cell_length_c 9.966
_cell_angle_alpha 90.00
_cell_angle_beta 90.00
_cell_angle_gamma 90.00
loop_
_atom_site_label
_atom_site_type_symbol
_atom_site_fract_x
_atom_site_fract_y
_atom_site_fract_z
_atom_site_occupancy
Cs1 Cs 0.141 0.750 0.125 1
Mg1 Mg 0.000 0.000 0.500 1
H1 H 0.000 0.000 0.000 1
# density = 2.3 g/cm³
# magnetic moment = 0.13 μB/atom
# V = 52.53 Å³/atom

In order of decreasing stability: run B, run A.

Run A
# CsMg2H6 | Alexandria | PBE | optimized geometry
data_CsMg2H6
_chemical_formula_sum 'Cs4 Mg8 H24'
_symmetry_space_group_name_H-M 'F m -3 m'
_symmetry_Int_Tables_number 225
_symmetry_space_group_name_Hall '-F 4 2 3'
_cell_length_a 8.029
_cell_length_b 8.029
_cell_length_c 8.029
_cell_angle_alpha 90.00
_cell_angle_beta 90.00
_cell_angle_gamma 90.00
loop_
_atom_site_label
_atom_site_type_symbol
_atom_site_fract_x
_atom_site_fract_y
_atom_site_fract_z
_atom_site_occupancy
Cs1 Cs 0.000 0.000 0.000 1
Mg1 Mg 0.250 0.250 0.250 1
H1 H 0.000 0.000 0.382 1
# density = 2.4 g/cm³
# magnetic moment = 0.00 μB/atom
# V = 14.38 Å³/atom

Run B
# CsMg2H6 | Alexandria | PBE | optimized geometry
data_CsMg2H6
_chemical_formula_sum 'Cs2 Mg4 H12'
_symmetry_space_group_name_H-M 'C 1 2/m 1'
_symmetry_Int_Tables_number 12
_cell_length_a 9.594
_cell_length_b 3.968
_cell_length_c 8.118
_cell_angle_alpha 90.00
_cell_angle_beta 109.29
_cell_angle_gamma 90.00
loop_
_symmetry_equiv_pos_as_xyz
'x,y,z'
'-x,-y,-z'
'-x,y,-z'
'x,-y,z'
'x+1/2,y+1/2,z'
'-x+1/2,-y+1/2,-z'
'-x+1/2,y+1/2,-z'
'x+1/2,-y+1/2,z'
loop_
_atom_site_label
_atom_site_type_symbol
_atom_site_fract_x
_atom_site_fract_y
_atom_site_fract_z
_atom_site_occupancy
Cs1 Cs 0.000 0.000 0.000 1
Mg1 Mg 0.173 0.000 0.583 1
H1 H 0.008 0.000 0.365 1
H2 H 0.191 0.500 0.550 1
H3 H 0.240 0.500 0.177 1
# density = 2.1 g/cm³
# magnetic moment = 0.11 μB/atom
# V = 16.21 Å³/atom

In order of decreasing stability: run B, run A.